a:
A relaxed structure of TaCr2Pt. Source: Alexandria via LeMat-Bulk, functional PBE.

Calculated density (Mg/m³): 13.50

Cell lengths 2.8267, 2.8267, 25.5949 Å; angles 90.00, 90.00, 120.00 degrees
Last column: nearest neighbours and their distance in Å.
Space group R3m (No. 160, hexagonal axes)
Inequivalent atoms, fractional coordinates:
Ta  0.0000  0.0000  0.0000  6 Ta 2.83, 3 Pt 2.84, 3 Cr 2.84
Cr  0.0000  0.0000  0.2425  3 Cr 2.32
Cr  0.0000  0.0000  0.5112  3 Cr 2.32
Pt  0.0000  0.0000  0.7574  3 Cr 2.76, 6 Pt 2.83, 3 Ta 2.84

b:
A relaxed structure of TaCr2Pt. Source: Alexandria via LeMat-Bulk, functional PBE.

Calculated density (Mg/m³): 13.32

Cell lengths 6.2091, 6.2091, 6.2091 Å; angles 90.00, 90.00, 90.00 degrees
Last column: nearest neighbours and their distance in Å.
Space group F-43m (No. 216)
Inequivalent atoms, fractional coordinates:
Ta  0.0000  0.0000  0.0000  4 Cr 2.69, 4 Pt 2.69
Cr  0.0000  0.0000  0.5000  4 Pt 2.69, 4 Cr 2.69
Cr  0.2500  0.2500  0.2500  4 Cr 2.69, 4 Ta 2.69
Pt  0.2500  0.2500  0.7500  4 Cr 2.69, 4 Ta 2.69

Most stable one: b, least stable one: a.

a:
A relaxed structure of TaCr2Pt. Source: Alexandria via LeMat-Bulk, functional PBE.

Calculated density (Mg/m³): 13.53

Cell lengths 3.1571, 3.1571, 5.9099 Å; angles 90.00, 90.00, 90.00 degrees
Last column: nearest neighbours and their distance in Å.
Space group P4/mmm (No. 123)
Inequivalent atoms, fractional coordinates:
Ta  0.0000  0.0000  0.0000  8 Cr 2.67, 2 Pt 2.95
Cr  0.5000  0.5000  0.2488  4 Ta 2.67, 4 Pt 2.68, 2 Cr 2.94-2.97
Pt  0.0000  0.0000  0.5000  8 Cr 2.68, 2 Ta 2.95

b:
A relaxed structure of TaCr2Pt. Source: Alexandria via LeMat-Bulk, functional PBE.

Calculated density (Mg/m³): 13.35

Cell lengths 3.9114, 3.9114, 7.8031 Å; angles 90.00, 90.00, 90.00 degrees
Last column: nearest neighbours and their distance in Å.
Space group I-4m2 (No. 119)
Inequivalent atoms, fractional coordinates:
Ta  0.0000  0.0000  0.0000  8 Cr 2.76-2.77, 4 Pt 2.76
Cr  0.0000  0.0000  0.5000  4 Cr 2.76, 4 Pt 2.76, 4 Ta 2.77
Cr  0.0000  0.5000  0.7500  4 Cr 2.76, 4 Ta 2.76, 4 Pt 2.77
Pt  0.0000  0.5000  0.2500  8 Cr 2.76-2.77, 4 Ta 2.76

Most stable one: b, least stable one: a.

a:
A relaxed structure of TaCr2Pt. Source: Alexandria via LeMat-Bulk, functional PBE.

Calculated density (Mg/m³): 13.37

Cell lengths 2.7593, 4.4437, 4.8825 Å; angles 90.00, 95.00, 90.00 degrees
Last column: nearest neighbours and their distance in Å.
Space group P2/m (No. 10)
Inequivalent atoms, fractional coordinates:
Ta  0.0000  0.0000  0.0000  4 Cr 2.62, 4 Pt 2.70-2.91, 2 Ta 2.76
Cr  0.3181  0.5000  0.7936  1 Cr 2.17
Pt  0.5000  0.0000  0.5000  4 Ta 2.70-2.91, 4 Cr 2.71, 2 Pt 2.76

b:
A relaxed structure of TaCr2Pt. Source: Alexandria via LeMat-Bulk, functional PBE.

Calculated density (Mg/m³): 13.73

Cell lengths 6.1472, 6.1472, 6.1472 Å; angles 90.00, 90.00, 90.00 degrees
Last column: nearest neighbours and their distance in Å.
Space group Fm-3m (No. 225)
Inequivalent atoms, fractional coordinates:
Ta  0.0000  0.0000  0.0000  8 Cr 2.66
Cr  0.2500  0.2500  0.2500  4 Ta 2.66, 4 Pt 2.66
Pt  0.0000  0.0000  0.5000  8 Cr 2.66

Most stable one: b, least stable one: a.

a:
A relaxed structure of TaCr2Pt. Source: Alexandria via LeMat-Bulk, functional PBE.

Calculated density (Mg/m³): 13.70

Cell lengths 2.6595, 2.6595, 8.2261 Å; angles 90.00, 90.00, 90.00 degrees
Last column: nearest neighbours and their distance in Å.
Space group P4/mmm (No. 123)
Inequivalent atoms, fractional coordinates:
Ta  0.0000  0.0000  0.0000  4 Ta 2.66, 8 Cr 2.88
Cr  0.5000  0.5000  0.2653  4 Cr 2.66, 4 Pt 2.70, 4 Ta 2.88
Pt  0.0000  0.0000  0.5000  4 Pt 2.66, 8 Cr 2.70

b:
A relaxed structure of TaCr2Pt. Source: Alexandria via LeMat-Bulk, functional PBE.

Calculated density (Mg/m³): 12.73

Cell lengths 6.9660, 6.9660, 5.1609 Å; angles 90.00, 90.00, 90.00 degrees
Last column: nearest neighbours and their distance in Å.
Space group I-42d (No. 122)
Inequivalent atoms, fractional coordinates:
Ta  0.0000  0.0000  0.0000  2 Pt 2.58, 4 Cr 2.59
Cr  0.2417  0.2500  0.6250  2 Pt 2.51, 2 Cr 2.58, 2 Ta 2.59
Pt  0.0000  0.0000  0.5000  4 Cr 2.51, 2 Ta 2.58

c:
A relaxed structure of TaCr2Pt. Source: Alexandria via LeMat-Bulk, functional PBE.

Calculated density (Mg/m³): 13.74

Cell lengths 3.4398, 4.0835, 8.2581 Å; angles 90.00, 90.00, 90.00 degrees
Last column: nearest neighbours and their distance in Å.
Space group Cmmm (No. 65)
Inequivalent atoms, fractional coordinates:
Ta  0.0000  0.0000  0.0000  4 Ta 2.67, 8 Cr 2.76-2.97
Cr  0.0000  0.5000  0.2613  4 Pt 2.62-2.84, 4 Cr 2.67, 2 Ta 2.76
Pt  0.0000  0.0000  0.5000  8 Cr 2.62-2.84, 4 Pt 2.67

d:
A relaxed structure of TaCr2Pt. Source: Alexandria via LeMat-Bulk, functional PBE.

Calculated density (Mg/m³): 13.80

Cell lengths 2.7166, 3.9656, 5.4541 Å; angles 90.00, 100.48, 90.00 degrees
Last column: nearest neighbours and their distance in Å.
Space group Pm (No. 6)
Inequivalent atoms, fractional coordinates:
Ta  0.0000  0.0000  0.0000  3 Cr 2.59-2.73, 2 Ta 2.72, 4 Pt 2.79-2.80
Cr  0.5268  0.5000  0.2734  2 Cr 2.32
Cr  0.8483  0.0000  0.4551  2 Cr 2.32, 1 Ta 2.59
Pt  0.3981  0.5000  0.7333  6 Cr 2.59-2.90, 2 Pt 2.72, 4 Ta 2.79-2.80

Most stable one: d, least stable one: b.

a:
A relaxed structure of TaCr2Pt. Source: Alexandria via LeMat-Bulk, functional PBE.

Calculated density (Mg/m³): 13.23

Cell lengths 2.8195, 2.8195, 26.2543 Å; angles 90.00, 90.00, 120.00 degrees
Last column: nearest neighbours and their distance in Å.
Space group R-3m (No. 166, hexagonal axes)
Inequivalent atoms, fractional coordinates:
Ta  0.0000  0.0000  0.0000  6 Cr 2.75, 6 Ta 2.82
Cr  0.0000  0.0000  0.2488  3 Pt 2.70, 3 Ta 2.75, 6 Cr 2.82
Pt  0.0000  0.0000  0.5000  6 Cr 2.70, 6 Pt 2.82

b:
A relaxed structure of TaCr2Pt. Source: Alexandria via LeMat-Bulk, functional PBE.

Calculated density (Mg/m³): 13.52

Cell lengths 3.9960, 3.9960, 3.6932 Å; angles 90.00, 90.00, 90.00 degrees
Last column: nearest neighbours and their distance in Å.
Space group P4/mmm (No. 123)
Inequivalent atoms, fractional coordinates:
Ta  0.0000  0.0000  0.0000  8 Cr 2.72, 4 Pt 2.83
Cr  0.0000  0.5000  0.5000  4 Pt 2.72, 4 Ta 2.72, 4 Cr 2.83
Pt  0.5000  0.5000  0.0000  8 Cr 2.72, 4 Ta 2.83

c:
A relaxed structure of TaCr2Pt. Source: Alexandria via LeMat-Bulk, functional PBE.

Calculated density (Mg/m³): 13.74

Cell lengths 5.3383, 8.6999, 2.6646 Å; angles 90.00, 110.34, 90.00 degrees
Last column: nearest neighbours and their distance in Å.
Space group C2/m (No. 12)
Inequivalent atoms, fractional coordinates:
Ta  0.0000  0.0000  0.0000  4 Cr 2.66, 2 Ta 2.66, 2 Pt 2.67
Cr  0.2500  0.2500  0.5000  2 Ta 2.66, 2 Pt 2.66, 4 Cr 2.66-2.67
Pt  0.0000  0.5000  0.0000  4 Cr 2.66, 2 Pt 2.66, 2 Ta 2.67

d:
A relaxed structure of TaCr2Pt. Source: Alexandria via LeMat-Bulk, functional PBE.

Calculated density (Mg/m³): 13.80

Cell lengths 3.8195, 3.8195, 7.9182 Å; angles 90.00, 90.00, 90.00 degrees
Last column: nearest neighbours and their distance in Å.
Space group I4/mmm (No. 139)
Inequivalent atoms, fractional coordinates:
Ta  0.0000  0.0000  0.0000  4 Pt 2.70, 8 Cr 2.75
Cr  0.0000  0.5000  0.2500  4 Cr 2.70, 4 Ta 2.75, 4 Pt 2.75
Pt  0.0000  0.0000  0.5000  4 Ta 2.70, 8 Cr 2.75

Most stable one: b, least stable one: a.

a:
A relaxed structure of TaCrPt3. Source: Alexandria via LeMat-Bulk, functional PBE.

Calculated density (Mg/m³): 14.49

Cell lengths 4.5433, 4.5433, 4.5433 Å; angles 90.00, 90.00, 90.00 degrees
Last column: nearest neighbours and their distance in Å.
Space group Pm-3m (No. 221)
Inequivalent atoms, fractional coordinates:
Ta  0.0000  0.0000  0.0000  12 Pt 3.21
Cr  0.5000  0.5000  0.5000  6 Pt 2.27
Pt  0.0000  0.5000  0.5000  2 Cr 2.27

b:
A relaxed structure of TaCrPt3. Source: Alexandria via LeMat-Bulk, functional PBE.

Calculated density (Mg/m³): 11.80

Cell lengths 4.8644, 4.8644, 4.8644 Å; angles 90.00, 90.00, 90.00 degrees
Last column: nearest neighbours and their distance in Å.
Space group Pm-3m (No. 221)
Inequivalent atoms, fractional coordinates:
Ta  0.0000  0.0000  0.0000  6 Pt 2.43
Cr  0.5000  0.5000  0.5000  12 Pt 3.44
Pt  0.0000  0.0000  0.5000  2 Ta 2.43

Most stable one: b, least stable one: a.

a:
A relaxed structure of CrTcPt3. Source: Alexandria via LeMat-Bulk, functional PBE.

Calculated density (Mg/m³): 11.33

Cell lengths 4.7593, 4.7593, 4.7593 Å; angles 90.00, 90.00, 90.00 degrees
Last column: nearest neighbours and their distance in Å.
Space group Pm-3m (No. 221)
Inequivalent atoms, fractional coordinates:
Cr  0.0000  0.0000  0.0000  12 Pt 3.37
Tc  0.5000  0.5000  0.5000  6 Pt 2.38
Pt  0.0000  0.5000  0.5000  2 Tc 2.38

b:
A relaxed structure of CrTcPt3. Source: Alexandria via LeMat-Bulk, functional PBE.

Calculated density (Mg/m³): 12.82

Cell lengths 4.5671, 4.5671, 4.5671 Å; angles 90.00, 90.00, 90.00 degrees
Last column: nearest neighbours and their distance in Å.
Space group Pm-3m (No. 221)
Inequivalent atoms, fractional coordinates:
Cr  0.0000  0.0000  0.0000  6 Pt 2.28
Tc  0.5000  0.5000  0.5000  12 Pt 3.23
Pt  0.0000  0.0000  0.5000  2 Cr 2.28

Most stable one: b, least stable one: a.

a:
A relaxed structure of CrTe2Pt. Source: Alexandria via LeMat-Bulk, functional PBE.

Calculated density (Mg/m³): 8.81

Cell lengths 6.0529, 7.7873, 4.0167 Å; angles 90.00, 90.00, 90.00 degrees
Last column: nearest neighbours and their distance in Å.
Space group Cmmm (No. 65)
Inequivalent atoms, fractional coordinates:
Cr  0.0000  0.0000  0.0000  4 Te 2.88, 2 Pt 3.03
Te  0.0000  0.2658  0.5000  2 Pt 2.71, 2 Cr 2.88, 2 Te 3.04
Pt  0.0000  0.5000  0.0000  4 Te 2.71, 2 Cr 3.03

b:
A relaxed structure of CrTe2Pt. Source: Alexandria via LeMat-Bulk, functional PBE.

Calculated density (Mg/m³): 9.31

Cell lengths 7.1026, 4.0835, 6.6088 Å; angles 90.00, 110.77, 90.00 degrees
Last column: nearest neighbours and their distance in Å.
Space group C2/m (No. 12)
Inequivalent atoms, fractional coordinates:
Cr  0.0000  0.0000  0.0000  6 Te 2.83-2.84
Te  0.2486  0.0000  0.7463  3 Pt 2.81, 3 Cr 2.83-2.84
Pt  0.0000  0.5000  0.5000  6 Te 2.81

Most stable one: b, least stable one: a.